First-principles (PBE) data for a relaxed structure of Ho2Pa2Se2S5, as listed in Alexandria.

abc: 12.309 12.309 12.309
angles: 155.08 155.08 35.53
Sites, in units of the cell vectors:
Ho: 0.159 0.159 0.000
Ho: 0.841 0.841 0.000
Pa: 0.389 0.389 0.000
Pa: 0.611 0.611 0.000
Se: 0.274 0.274 0.000
Se: 0.726 0.726 0.000
S: 0.119 0.619 0.500
S: 0.381 0.881 0.500
S: 0.500 0.500 0.000
S: 0.619 0.119 0.500
S: 0.881 0.381 0.500


First-principles (PBE) data for a relaxed structure of HoPaSeS, as listed in Alexandria.

abc: 7.663 7.663 7.663
angles: 28.30 28.30 28.30
Sites, in units of the cell vectors:
Ho: 0.000 0.000 0.000
Pa: 0.820 0.820 0.820
Se: 0.245 0.245 0.245
S: 0.407 0.407 0.407


First-principles (PBE) data for a relaxed structure of Sm2HoPaS4, as listed in Alexandria.

abc: 6.840 3.922 6.856
angles: 90.00 109.06 90.00
Sites, in units of the cell vectors:
Sm: 0.000 0.000 0.000
Sm: 0.000 0.500 0.500
Ho: 0.500 0.000 0.500
Pa: 0.500 0.500 0.000
S: 0.258 0.000 0.750
S: 0.261 0.500 0.255
S: 0.739 0.500 0.745
S: 0.742 0.000 0.250


First-principles (PBE) data for a relaxed structure of TbHoPa2S4, as listed in Alexandria.

abc: 6.579 3.794 7.048
angles: 90.00 108.11 90.00
Sites, in units of the cell vectors:
Tb: 0.000 0.000 0.000
Ho: 0.500 0.500 0.000
Pa: 0.000 0.500 0.500
Pa: 0.500 0.000 0.500
S: 0.250 0.500 0.244
S: 0.254 0.000 0.757
S: 0.746 0.000 0.243
S: 0.750 0.500 0.756


First-principles (PBE) data for a relaxed structure of Ho3PaTl3S8, as listed in Alexandria.

abc: 8.903 8.903 8.903
angles: 53.55 53.55 53.55
Sites, in units of the cell vectors:
Ho: 0.000 0.500 0.500
Ho: 0.500 0.000 0.500
Ho: 0.500 0.500 0.000
Pa: 0.000 0.000 0.000
Tl: 0.000 0.000 0.500
Tl: 0.000 0.500 0.000
Tl: 0.500 0.000 0.000
S: 0.230 0.230 0.734
S: 0.230 0.734 0.230
S: 0.266 0.770 0.770
S: 0.269 0.269 0.269
S: 0.731 0.731 0.731
S: 0.734 0.230 0.230
S: 0.770 0.266 0.770
S: 0.770 0.770 0.266


First-principles (PBE) data for a relaxed structure of Ho2PaTl2S6, as listed in Alexandria.

abc: 6.938 6.938 7.954
angles: 98.45 98.45 120.01
Sites, in units of the cell vectors:
Ho: 0.166 0.834 0.000
Ho: 0.834 0.166 0.000
Pa: 0.500 0.500 0.000
Tl: 0.332 0.668 0.500
Tl: 0.668 0.332 0.500
S: 0.105 0.437 0.807
S: 0.236 0.236 0.194
S: 0.437 0.105 0.807
S: 0.563 0.895 0.193
S: 0.764 0.764 0.806
S: 0.895 0.563 0.193


First-principles (PBE) data for a relaxed structure of HoTmPa2S4, as listed in Alexandria.

abc: 6.505 3.752 7.077
angles: 90.00 107.81 90.00
Sites, in units of the cell vectors:
Ho: 0.000 0.000 0.000
Tm: 0.500 0.500 0.000
Pa: 0.000 0.500 0.500
Pa: 0.500 0.000 0.500
S: 0.248 0.500 0.240
S: 0.256 0.000 0.761
S: 0.744 0.000 0.239
S: 0.752 0.500 0.760


First-principles (PBE) data for a relaxed structure of Ho2TmPaS4, as listed in Alexandria.

abc: 6.717 3.843 6.741
angles: 90.00 108.97 90.00
Sites, in units of the cell vectors:
Ho: 0.000 0.000 0.000
Ho: 0.000 0.500 0.500
Tm: 0.500 0.000 0.500
Pa: 0.500 0.500 0.000
S: 0.248 0.000 0.745
S: 0.251 0.500 0.254
S: 0.749 0.500 0.746
S: 0.752 0.000 0.255


Uncorrected formation energy for every record listed, in sequence, given in eV/f.u.: -17.093, -6.212, -15.108, -14.187, -22.647, -16.729, -14.083, -14.818.
Energy for every record listed, in sequence, given in eV/atom: -6.6225, -6.9744, -6.8912, -7.3620, -5.7330, -5.8980, -7.3293, -6.8064.